VASP calculation (GGA-PBE) on a relaxed CrNi2Hg crystal.

## Properties
calculated total energy	-19.96	eV per cell
total magnetic moment	3.575	Bohr magnetons per cell

a b c (Å): 4.3309 4.3309 4.3309
angles (deg): 60.00 60.00 60.00
Fractional positions:
Cr: 0.0000 0.0000 0.0000
Ni: 0.2500 0.2500 0.2500
Ni: 0.5000 0.5000 0.5000
Hg: 0.7500 0.7500 0.7500

=====

VASP calculation (GGA-PBE) on a relaxed CrNiHg crystal.

## Properties
calculated total energy	-14.20	eV per cell
total magnetic moment	2.967	Bohr magnetons per cell

a b c (Å): 2.9381 2.9381 6.3447
angles (deg): 90.00 90.00 120.00
Fractional positions:
Cr: 0.0000 0.0000 0.0000
Ni: 0.3333 0.6667 0.7265
Hg: 0.6667 0.3333 0.3728

=====

VASP calculation (GGA-PBE) on a relaxed CrNi2Hg crystal.

## Properties
calculated total energy	-20.50	eV per cell
total magnetic moment	0.389	Bohr magnetons per cell

a b c (Å): 2.7151 2.7151 7.3870
angles (deg): 90.00 90.00 90.00
Fractional positions:
Cr: 0.0000 0.0000 0.0000
Ni: 0.5000 0.5000 0.2144
Ni: 0.5000 0.5000 0.7856
Hg: 0.0000 0.0000 0.5000

=====

VASP calculation (GGA-PBE) on a relaxed CrNiHg2 crystal.

## Properties
calculated total energy	-14.54	eV per cell
total magnetic moment	4.141	Bohr magnetons per cell

a b c (Å): 4.2590 4.2590 3.8196
angles (deg): 90.00 90.00 90.00
Fractional positions:
Cr: 0.0000 0.0000 0.0000
Ni: 0.5000 0.5000 0.0000
Hg: 0.0000 0.5000 0.5000
Hg: 0.5000 0.0000 0.5000

=====

VASP calculation (GGA-PBE) on a relaxed CrNiHg2 crystal.

## Properties
calculated total energy	-14.46	eV per cell
total magnetic moment	3.951	Bohr magnetons per cell

a b c (Å): 5.2036 5.2036 4.7024
angles (deg): 107.38 107.38 35.17
Fractional positions:
Cr: 0.0000 0.0000 0.0000
Ni: 0.2940 0.2940 0.7345
Hg: 0.5433 0.5433 0.5395
Hg: 0.7616 0.7616 0.2105

=====

VASP calculation (GGA-PBE) on a relaxed CrNiHg2 crystal.

## Properties
calculated total energy	-14.19	eV per cell
total magnetic moment	3.836	Bohr magnetons per cell

a b c (Å): 4.6233 4.6233 4.6233
angles (deg): 60.00 60.00 60.00
Fractional positions:
Cr: 0.0000 0.0000 0.0000
Ni: 0.2500 0.2500 0.2500
Hg: 0.5000 0.5000 0.5000
Hg: 0.7500 0.7500 0.7500

=====

Number 1: density 10696 kg/m3, formation enthalpy at 0 K 382 meV per atom. Number 2: density 10897 kg/m3, formation enthalpy at 0 K 501 meV per atom. Number 3: density 11282 kg/m3, formation enthalpy at 0 K 248 meV per atom. Number 4: density 12268 kg/m3, formation enthalpy at 0 K 367 meV per atom. Number 5: density 12203 kg/m3, formation enthalpy at 0 K 387 meV per atom. Number 6: density 12163 kg/m3, formation enthalpy at 0 K 456 meV per atom.